[1]
Computed, not measured: CdHg4I2 after structural relaxation at the PBE level of DFT.

As for the formation energy (no corrections): -0.99 eV/f.u. For the total magnetization, the calculation gives 0.0 μB per formula unit. The calculation puts the density of states at the Fermi level at 0.1 states/eV per cell. As for the total energy: -12.4 eV for the cell shown. Its density is 6.93 g/cm³.

Cell lengths 5.894, 5.894, 16.118 Å; angles 90.00, 90.00, 90.00 degrees
Space group I4/mmm (No. 139)
Asymmetric unit:
Cd1 0.000 0.000 0.000 (multiplicity 2)
Hg1 0.000 0.000 0.168 (multiplicity 4)
Hg2 0.000 0.500 0.000 (multiplicity 4)
I1 0.000 0.000 0.342 (multiplicity 4)

[2]
Computed, not measured: CdHg2I after structural relaxation at the PBE level of DFT.

For the energy above the most stable polymorph in this dataset, the calculation gives 0.02 eV/f.u. As for the formation energy (no corrections): -0.37 eV/f.u. For the total magnetization, the calculation gives 0.0 μB per formula unit. The calculation puts the density of states at the Fermi level at 3.3 states/eV per cell. As for the total energy: -13.7 eV for the cell shown. Its density is 8.51 g/cm³.

Cell lengths 8.837, 8.837, 6.402 Å; angles 90.00, 90.00, 90.00 degrees
Space group I-42d (No. 122)
Asymmetric unit:
Cd1 0.000 0.000 0.000 (multiplicity 4)
Hg1 0.210 0.750 0.125 (multiplicity 8)
I1 0.000 0.000 0.500 (multiplicity 4)